No. 1
{
  "formula": "Li4GeSe2",
  "functional": "PBE",
  "state": "optimized geometry",
  "lattice": [[-2.298, 2.298, 6.877], [2.298, -2.298, 6.877], [2.298, 2.298, -6.877]],
  "species": ["Li", "Li", "Li", "Li", "Ge", "Se", "Se"],
  "frac_coords": [[0.000, 0.500, 0.500], [0.193, 0.193, 0.000], [0.500, 0.000, 0.500], [0.807, 0.807, 0.000], [0.000, 0.000, 0.000], [0.376, 0.376, 0.000], [0.624, 0.624, 0.000]],
  "e_form_raw_mev_per_atom": -319,
  "total_magnetization_mub_per_fu": 0.0,
  "crystal_system": "tetragonal"
}

=====

No. 2
{
  "formula": "LiGeSe",
  "functional": "PBE",
  "state": "optimized geometry",
  "lattice": [[4.269, 0.000, 0.000], [2.131, 3.714, 0.000], [0.036, 0.121, 8.683]],
  "species": ["Li", "Li", "Ge", "Ge", "Se", "Se"],
  "frac_coords": [[0.000, 0.000, 0.000], [0.323, 0.368, 0.263], [0.002, 0.000, 0.595], [0.670, 0.663, 0.681], [0.667, 0.666, 0.959], [0.991, 0.033, 0.318]],
  "e_form_raw_mev_per_atom": -663,
  "total_magnetization_mub_per_fu": 0.0,
  "crystal_system": "triclinic",
  "de_polymorph_ev_per_atom": 0.0060
}

=====

No. 3
{
  "formula": "Li3Ge5Se12",
  "functional": "PBE",
  "state": "optimized geometry",
  "lattice": [[-7.869, 7.869, 7.869], [7.869, -7.869, 7.869], [7.869, 7.869, -7.869]],
  "species": ["Li", "Li", "Li", "Li", "Li", "Li", "Li", "Li", "Li", "Li", "Li", "Li", "Ge", "Ge", "Ge", "Ge", "Ge", "Ge", "Ge", "Ge", "Ge", "Ge", "Ge", "Ge", "Ge", "Ge", "Ge", "Ge", "Ge", "Ge", "Ge", "Ge", "Se", "Se", "Se", "Se", "Se", "Se", "Se", "Se", "Se", "Se", "Se", "Se", "Se", "Se", "Se", "Se", "Se", "Se", "Se", "Se", "Se", "Se", "Se", "Se", "Se", "Se", "Se", "Se", "Se", "Se", "Se", "Se", "Se", "Se", "Se", "Se", "Se", "Se", "Se", "Se", "Se", "Se", "Se", "Se", "Se", "Se", "Se", "Se"],
  "frac_coords": [[0.125, 0.250, 0.375], [0.125, 0.375, 0.750], [0.250, 0.375, 0.125], [0.250, 0.875, 0.625], [0.375, 0.125, 0.250], [0.375, 0.750, 0.125], [0.625, 0.250, 0.875], [0.625, 0.875, 0.750], [0.750, 0.125, 0.375], [0.750, 0.625, 0.875], [0.875, 0.625, 0.250], [0.875, 0.750, 0.625], [0.000, 0.000, 0.000], [0.000, 0.000, 0.500], [0.000, 0.500, 0.000], [0.000, 0.500, 0.500], [0.125, 0.750, 0.875], [0.125, 0.875, 0.250], [0.250, 0.125, 0.875], [0.250, 0.625, 0.375], [0.375, 0.250, 0.625], [0.375, 0.625, 0.750], [0.500, 0.000, 0.000], [0.500, 0.000, 0.500], [0.500, 0.500, 0.000], [0.500, 0.500, 0.500], [0.625, 0.375, 0.250], [0.625, 0.750, 0.375], [0.750, 0.375, 0.625], [0.750, 0.875, 0.125], [0.875, 0.125, 0.750], [0.875, 0.250, 0.125], [0.039, 0.215, 0.131], [0.039, 0.324, 0.908], [0.084, 0.715, 0.676], [0.084, 0.869, 0.408], [0.092, 0.631, 0.416], [0.092, 0.961, 0.676], [0.131, 0.039, 0.215], [0.131, 0.592, 0.916], [0.176, 0.215, 0.584], [0.176, 0.461, 0.592], [0.215, 0.131, 0.039], [0.215, 0.584, 0.176], [0.285, 0.324, 0.916], [0.285, 0.461, 0.369], [0.324, 0.908, 0.039], [0.324, 0.916, 0.285], [0.369, 0.285, 0.461], [0.369, 0.584, 0.908], [0.408, 0.084, 0.869], [0.408, 0.824, 0.539], [0.416, 0.092, 0.631], [0.416, 0.824, 0.785], [0.461, 0.369, 0.285], [0.461, 0.592, 0.176], [0.539, 0.408, 0.824], [0.539, 0.631, 0.715], [0.584, 0.176, 0.215], [0.584, 0.908, 0.369], [0.592, 0.176, 0.461], [0.592, 0.916, 0.131], [0.631, 0.416, 0.092], [0.631, 0.715, 0.539], [0.676, 0.084, 0.715], [0.676, 0.092, 0.961], [0.715, 0.539, 0.631], [0.715, 0.676, 0.084], [0.785, 0.416, 0.824], [0.785, 0.869, 0.961], [0.824, 0.539, 0.408], [0.824, 0.785, 0.416], [0.869, 0.408, 0.084], [0.869, 0.961, 0.785], [0.908, 0.039, 0.324], [0.908, 0.369, 0.584], [0.916, 0.131, 0.592], [0.916, 0.285, 0.324], [0.961, 0.676, 0.092], [0.961, 0.785, 0.869]],
  "e_form_raw_mev_per_atom": -309,
  "total_magnetization_mub_per_fu": 0.0,
  "crystal_system": "cubic"
}

=====

No. 4
{
  "formula": "Li8GeSe6",
  "functional": "PBE",
  "state": "optimized geometry",
  "lattice": [[7.448, 0.000, 0.000], [0.000, 7.693, 0.000], [0.000, 0.000, 10.871]],
  "species": ["Li", "Li", "Li", "Li", "Li", "Li", "Li", "Li", "Li", "Li", "Li", "Li", "Li", "Li", "Li", "Li", "Ge", "Ge", "Se", "Se", "Se", "Se", "Se", "Se", "Se", "Se", "Se", "Se", "Se", "Se"],
  "frac_coords": [[0.000, 0.125, 0.000], [0.000, 0.241, 0.441], [0.207, 0.580, 0.789], [0.209, 0.713, 0.109], [0.224, 0.941, 0.774], [0.276, 0.059, 0.274], [0.291, 0.287, 0.609], [0.293, 0.420, 0.289], [0.500, 0.759, 0.941], [0.500, 0.875, 0.500], [0.707, 0.420, 0.289], [0.709, 0.287, 0.609], [0.724, 0.059, 0.274], [0.776, 0.941, 0.774], [0.791, 0.713, 0.109], [0.793, 0.580, 0.789], [0.000, 0.748, 0.466], [0.500, 0.252, 0.966], [0.000, 0.002, 0.594], [0.000, 0.255, 0.220], [0.000, 0.493, 0.596], [0.000, 0.779, 0.931], [0.238, 0.257, 0.845], [0.262, 0.743, 0.345], [0.500, 0.221, 0.431], [0.500, 0.507, 0.096], [0.500, 0.745, 0.720], [0.500, 0.998, 0.094], [0.738, 0.743, 0.345], [0.762, 0.257, 0.845]],
  "e_form_raw_mev_per_atom": -1026,
  "total_magnetization_mub_per_fu": 0.0,
  "crystal_system": "orthorhombic"
}

=====

No. 5
{
  "formula": "LiGeSe2",
  "functional": "PBE",
  "state": "optimized geometry",
  "lattice": [[3.776, 0.000, 0.000], [-0.008, 6.550, 0.000], [-1.880, -3.273, 6.594]],
  "species": ["Li", "Li", "Ge", "Ge", "Se", "Se", "Se", "Se"],
  "frac_coords": [[0.249, 0.250, 0.000], [0.751, 0.750, 0.000], [0.000, 0.000, 0.500], [0.500, 0.500, 0.500], [0.121, 0.787, 0.742], [0.379, 0.712, 0.258], [0.621, 0.288, 0.742], [0.879, 0.213, 0.258]],
  "e_form_raw_mev_per_atom": -557,
  "total_magnetization_mub_per_fu": 0.0,
  "crystal_system": "triclinic"
}

=====

No. 6
{
  "formula": "Li5Ge2Se5",
  "functional": "PBE",
  "state": "optimized geometry",
  "lattice": [[6.356, -1.917, 0.000], [6.356, 1.917, 0.000], [-3.542, 0.000, 10.653]],
  "species": ["Li", "Li", "Li", "Li", "Li", "Ge", "Ge", "Se", "Se", "Se", "Se", "Se"],
  "frac_coords": [[0.000, 0.000, 0.000], [0.150, 0.150, 0.535], [0.228, 0.228, 0.866], [0.772, 0.772, 0.134], [0.850, 0.850, 0.465], [0.454, 0.454, 0.715], [0.546, 0.546, 0.285], [0.194, 0.194, 0.303], [0.390, 0.390, 0.083], [0.500, 0.500, 0.500], [0.610, 0.610, 0.917], [0.806, 0.806, 0.697]],
  "e_form_raw_mev_per_atom": -766,
  "total_magnetization_mub_per_fu": 0.0,
  "crystal_system": "monoclinic"
}